# 1
First-principles (GGA-PBE) data for a relaxed structure of Mg2TeCl, as listed in Alexandria.

Its energy relative to the elements, uncorrected is -0.68 eV per atom. For the calculated total energy, the calculation gives -2.72 eV per atom. Its excess energy over the best structure of this formula in the dataset is 0.148 eV/atom.

The space group is Fm-3m (No. 225) and the conventional cell measures 7.155, 7.155 and 7.155 Å, with angles of 90.00, 90.00 and 90.00 degrees. Symmetry generates all atoms from Mg at (0.250, 0.250, 0.250), Te at (0.000, 0.000, 0.000) and Cl at (0.000, 0.000, 0.500).

# 2
First-principles (GGA-PBE) data for a relaxed structure of MgTeCl, as listed in Alexandria.

Its energy relative to the elements, uncorrected is -1.12 eV per atom. For the calculated total energy, the calculation gives -3.31 eV per atom.

The space group is P-1 (No. 2) and the conventional cell measures 4.006, 6.288 and 7.330 Å, with angles of 103.03, 90.64 and 106.89 degrees. Symmetry generates all atoms from Mg at (0.242, 0.002, 0.285), Te at (0.381, 0.255, 0.985) and Cl at (0.153, 0.784, 0.532).

# 3
First-principles (GGA-PBE) data for a relaxed structure of MgTeCl, as listed in Alexandria.

Its energy relative to the elements, uncorrected is -1.07 eV per atom. For the calculated total energy, the calculation gives -3.26 eV per atom.

The space group is P3m1 (No. 156) and the conventional cell measures 3.6218, 3.6218 and 7.7605 Å, with angles of 90.00, 90.00 and 120.00 degrees. Symmetry generates all atoms from Mg at (0.0000, 0.0000, 0.0000), Te at (0.3333, 0.6667, 0.2688) and Cl at (0.6667, 0.3333, 0.8219).

# 4
First-principles (GGA-PBE) data for a relaxed structure of MgTeCl, as listed in Alexandria.

Its energy relative to the elements, uncorrected is -0.90 eV per atom. For the calculated total energy, the calculation gives -3.09 eV per atom.

The space group is Fmm2 (No. 42) and the conventional cell measures 3.861, 5.785 and 15.675 Å, with angles of 90.00, 90.00 and 90.00 degrees. Symmetry generates all atoms from Mg at (0.000, 0.000, 0.000), Te at (0.000, 0.000, 0.637) and Cl at (0.000, 0.000, 0.403).

# 5
First-principles (GGA-PBE) data for a relaxed structure of MgTeCl, as listed in Alexandria.

Its energy relative to the elements, uncorrected is -0.54 eV per atom. For the calculated total energy, the calculation gives -2.73 eV per atom.

The space group is F-43m (No. 216) and the conventional cell measures 6.916, 6.916 and 6.916 Å, with angles of 90.00, 90.00 and 90.00 degrees. Symmetry generates all atoms from Mg at (0.000, 0.000, 0.000), Te at (0.250, 0.250, 0.250) and Cl at (0.250, 0.250, 0.750).

# 6
First-principles (GGA-PBE) data for a relaxed structure of MgTeCl, as listed in Alexandria.

Its energy relative to the elements, uncorrected is -1.11 eV per atom. For the calculated total energy, the calculation gives -3.30 eV per atom.

The space group is P1 (No. 1) and the conventional cell measures 4.527, 5.898 and 7.090 Å, with angles of 89.89, 89.98 and 89.95 degrees. Symmetry generates all atoms from Mg at (0.000, 0.000, 0.000), Mg at (0.000, 0.499, 0.412), Te at (0.499, 0.053, 0.758), Te at (0.499, 0.553, 0.653), Cl at (0.997, 0.603, 0.087) and Cl at (0.998, 0.103, 0.325).

# 7
First-principles (GGA-PBE) data for a relaxed structure of Mg2TeCl, as listed in Alexandria.

Its energy relative to the elements, uncorrected is -0.63 eV per atom. For the calculated total energy, the calculation gives -2.67 eV per atom. Its excess energy over the best structure of this formula in the dataset is 0.198 eV/atom.

The space group is Pmmm (No. 47) and the conventional cell measures 3.852, 4.260 and 6.112 Å, with angles of 90.00, 90.00 and 90.00 degrees. Symmetry generates all atoms from Mg at (0.000, 0.000, 0.000), Mg at (0.000, 0.500, 0.500), Te at (0.500, 0.000, 0.500) and Cl at (0.500, 0.500, 0.000).

# 8
First-principles (GGA-PBE) data for a relaxed structure of Mg2TeCl, as listed in Alexandria.

Its energy relative to the elements, uncorrected is -0.61 eV per atom. For the calculated total energy, the calculation gives -2.65 eV per atom. Its excess energy over the best structure of this formula in the dataset is 0.220 eV/atom.

The space group is I-4m2 (No. 119) and the conventional cell measures 4.006, 4.006 and 13.868 Å, with angles of 90.00, 90.00 and 90.00 degrees. Symmetry generates all atoms from Mg at (0.000, 0.000, 0.000), Mg at (0.000, 0.500, 0.250), Te at (0.000, 0.500, 0.750) and Cl at (0.000, 0.000, 0.500).

# 9
First-principles (GGA-PBE) data for a relaxed structure of Mg2TeCl, as listed in Alexandria.

Its energy relative to the elements, uncorrected is -0.62 eV per atom. For the calculated total energy, the calculation gives -2.66 eV per atom. Its excess energy over the best structure of this formula in the dataset is 0.207 eV/atom.

The space group is Imm2 (No. 44) and the conventional cell measures 3.259, 6.342 and 10.375 Å, with angles of 90.00, 90.00 and 90.00 degrees. Symmetry generates all atoms from Mg at (0.000, 0.000, 0.000), Mg at (0.000, 0.500, 0.240), Te at (0.000, 0.000, 0.502) and Cl at (0.000, 0.500, 0.676).

# 10
First-principles (GGA-PBE) data for a relaxed structure of Mg2TeCl, as listed in Alexandria.

Its energy relative to the elements, uncorrected is -0.78 eV per atom. For the calculated total energy, the calculation gives -2.83 eV per atom. Its excess energy over the best structure of this formula in the dataset is 0.046 eV/atom.

The space group is C2/m (No. 12) and the conventional cell measures 7.361, 4.283 and 6.892 Å, with angles of 90.00, 110.67 and 90.00 degrees. Symmetry generates all atoms from Mg at (0.250, 0.000, 0.246), Te at (0.000, 0.000, 0.500) and Cl at (0.000, 0.500, 0.000).

# 11
First-principles (GGA-PBE) data for a relaxed structure of MgTeCl, as listed in Alexandria.

Its energy relative to the elements, uncorrected is 0.01 eV per atom. For the calculated total energy, the calculation gives -2.18 eV per atom.

The space group is F-43m (No. 216) and the conventional cell measures 6.969, 6.969 and 6.969 Å, with angles of 90.00, 90.00 and 90.00 degrees. Symmetry generates all atoms from Mg at (0.000, 0.000, 0.000), Te at (0.000, 0.000, 0.500) and Cl at (0.250, 0.250, 0.750).

# 12
First-principles (GGA-PBE) data for a relaxed structure of Mg2TeCl, as listed in Alexandria.

Its energy relative to the elements, uncorrected is -0.59 eV per atom. For the calculated total energy, the calculation gives -2.64 eV per atom. Its excess energy over the best structure of this formula in the dataset is 0.234 eV/atom.

The space group is Cmmm (No. 65) and the conventional cell measures 4.101, 7.677 and 7.696 Å, with angles of 90.00, 90.00 and 90.00 degrees. Symmetry generates all atoms from Mg at (0.000, 0.000, 0.249), Te at (0.000, 0.500, 0.000) and Cl at (0.000, 0.500, 0.500).

# 13
First-principles (GGA-PBE) data for a relaxed structure of MgTe2Cl2, as listed in Alexandria.

Its energy relative to the elements, uncorrected is 0.03 eV per atom. For the calculated total energy, the calculation gives -2.28 eV per atom. Its excess energy over the best structure of this formula in the dataset is 0.355 eV/atom.

The space group is I4/mmm (No. 139) and the conventional cell measures 4.454, 4.454 and 14.125 Å, with angles of 90.00, 90.00 and 90.00 degrees. Symmetry generates all atoms from Mg at (0.000, 0.000, 0.000), Te at (0.000, 0.000, 0.399) and Cl at (0.000, 0.500, 0.250).

# 14
First-principles (GGA-PBE) data for a relaxed structure of MgTeCl, as listed in Alexandria.

Its energy relative to the elements, uncorrected is -1.07 eV per atom. For the calculated total energy, the calculation gives -3.27 eV per atom.

The space group is Cmc2_1 (No. 36) and the conventional cell measures 3.973, 14.438 and 6.058 Å, with angles of 90.00, 90.00 and 90.00 degrees. Symmetry generates all atoms from Mg at (0.000, 0.155, 0.000), Te at (0.000, 0.485, 0.541) and Cl at (0.000, 0.244, 0.348).

# 15
First-principles (GGA-PBE) data for a relaxed structure of MgTeCl, as listed in Alexandria.

Its energy relative to the elements, uncorrected is -1.06 eV per atom. For the calculated total energy, the calculation gives -3.26 eV per atom.

The space group is P1 (No. 1) and the conventional cell measures 4.184, 5.994 and 7.939 Å, with angles of 75.36, 87.78 and 80.91 degrees. Symmetry generates all atoms from Mg at (0.000, 0.000, 0.000), Mg at (0.329, 0.441, 0.366), Te at (0.451, 0.354, 0.034), Te at (0.546, 0.795, 0.840), Cl at (0.156, 0.851, 0.305) and Cl at (0.842, 0.321, 0.520).

# 16
First-principles (GGA-PBE) data for a relaxed structure of MgTe3Cl, as listed in Alexandria.

Its energy relative to the elements, uncorrected is 0.21 eV per atom. For the calculated total energy, the calculation gives -2.36 eV per atom. Its excess energy over the best structure of this formula in the dataset is 0.000 eV/atom.

The space group is Pm-3m (No. 221) and the conventional cell measures 5.411, 5.411 and 5.411 Å, with angles of 90.00, 90.00 and 90.00 degrees. Symmetry generates all atoms from Mg at (0.000, 0.000, 0.000), Te at (0.000, 0.000, 0.500) and Cl at (0.500, 0.500, 0.500).

# 17
First-principles (GGA-PBE) data for a relaxed structure of MgTeCl, as listed in Alexandria.

Its energy relative to the elements, uncorrected is -0.53 eV per atom. For the calculated total energy, the calculation gives -2.72 eV per atom.

The space group is P3m1 (No. 156) and the conventional cell measures 4.8275, 4.8275 and 3.4600 Å, with angles of 90.00, 90.00 and 120.00 degrees. Symmetry generates all atoms from Mg at (0.0000, 0.0000, 0.0000), Te at (0.3333, 0.6667, 0.4879) and Cl at (0.6667, 0.3333, 0.9873).

# 18
First-principles (GGA-PBE) data for a relaxed structure of MgTeCl, as listed in Alexandria.

Its energy relative to the elements, uncorrected is -1.08 eV per atom. For the calculated total energy, the calculation gives -3.27 eV per atom.

The space group is P1 (No. 1) and the conventional cell measures 3.550, 3.553 and 8.030 Å, with angles of 78.63, 77.23 and 64.16 degrees. Symmetry generates all atoms from Mg at (0.000, 0.000, 0.000), Te at (0.239, 0.266, 0.268) and Cl at (0.727, 0.710, 0.822).

# 19
First-principles (GGA-PBE) data for a relaxed structure of MgTeCl, as listed in Alexandria.

Its energy relative to the elements, uncorrected is -1.12 eV per atom. For the calculated total energy, the calculation gives -3.31 eV per atom.

The space group is P-1 (No. 2) and the conventional cell measures 4.465, 6.514 and 7.554 Å, with angles of 96.28, 90.02 and 109.84 degrees. Symmetry generates all atoms from Mg at (0.049, 0.100, 0.305), Te at (0.398, 0.793, 0.898) and Cl at (0.132, 0.265, 0.609).

# 20
First-principles (GGA-PBE) data for a relaxed structure of Mg4TeCl, as listed in Alexandria.

Its energy relative to the elements, uncorrected is -0.18 eV per atom. For the calculated total energy, the calculation gives -2.07 eV per atom.

The space group is F-43m (No. 216) and the conventional cell measures 8.407, 8.407 and 8.407 Å, with angles of 90.00, 90.00 and 90.00 degrees. Symmetry generates all atoms from Mg at (0.124, 0.124, 0.124), Te at (0.250, 0.250, 0.750) and Cl at (0.000, 0.000, 0.500).